Entry from the Alexandria database: a crystal of Al5Ag3 relaxed with PBEsol (SCAN).

Values from the calculation:
**Formation energy from the elements**: -5 kJ per mole of atoms
**V**: 16.26 Å³/atom
**Offset from the most stable computed form**: 18 meV/atom
**Calculated density**: 5.9 g/cm3
**Magnetic moment**: 0.0000 μB per atom

Unit cell a=2.961 b=3.942 c=11.141 alpha=90.00 beta=90.00 gamma=90.00
Positions (direct):
1 Al 0.000 0.000 0.756
2 Al 0.500 0.500 0.624
3 Al 0.500 0.500 0.372
4 Al 0.000 0.000 0.250
5 Al 0.500 0.500 0.120
6 Ag 0.000 0.000 0.006
7 Ag 0.500 0.500 0.868
8 Ag 0.000 0.000 0.505